w:
! KLa2Zr GGA-PBE optimized geometry; values from VASP
! symmetry	R-3m (166)
&SYSTEM
  ibrav = 0, nat = 4, ntyp = 3
/
ATOMIC_SPECIES
K 39.10 K.upf
La 138.91 La.upf
Zr 91.22 Zr.upf
CELL_PARAMETERS angstrom
1.804 1.042 13.014
-1.804 1.042 13.014
0.000 -2.084 13.014
ATOMIC_POSITIONS angstrom
K 0.000 0.000 0.000
La 0.000 0.000 9.157
La 0.000 0.000 29.886
Zr 0.000 0.000 19.521

x:
! KLa2Zr GGA-PBE optimized geometry; values from VASP
! symmetry	Immm (71)
&SYSTEM
  ibrav = 0, nat = 4, ntyp = 3
/
ATOMIC_SPECIES
K 39.10 K.upf
La 138.91 La.upf
Zr 91.22 Zr.upf
CELL_PARAMETERS angstrom
-1.732 3.354 6.310
1.732 -3.354 6.310
1.732 3.354 -6.310
ATOMIC_POSITIONS angstrom
K 0.000 0.000 0.000
La 1.732 0.000 3.615
La 0.000 3.354 2.695
Zr 0.000 0.000 6.310

y:
! KLa2Zr GGA-PBE optimized geometry; values from VASP
! symmetry	I-4m2 (119)
&SYSTEM
  ibrav = 0, nat = 4, ntyp = 3
/
ATOMIC_SPECIES
K 39.10 K.upf
La 138.91 La.upf
Zr 91.22 Zr.upf
CELL_PARAMETERS angstrom
-2.513 2.513 5.456
2.513 -2.513 5.456
2.513 2.513 -5.456
ATOMIC_POSITIONS angstrom
K 0.000 0.000 0.000
La 2.513 0.000 2.728
La 0.000 0.000 5.456
Zr 0.000 2.513 2.728

In terms of stability, w leads; the second structure lies 302 meV per atom higher.

w:
! KLa2Zr GGA-PBE optimized geometry; values from VASP
! symmetry	P4/mmm (123)
&SYSTEM
  ibrav = 0, nat = 4, ntyp = 3
/
ATOMIC_SPECIES
K 39.10 K.upf
La 138.91 La.upf
Zr 91.22 Zr.upf
CELL_PARAMETERS angstrom
6.151 0.000 0.000
0.000 6.151 0.000
0.000 0.000 3.640
ATOMIC_POSITIONS angstrom
K 0.000 0.000 0.000
La 0.000 3.075 1.820
La 3.075 0.000 1.820
Zr 3.075 3.075 0.000

x:
! KLa2Zr GGA-PBE optimized geometry; values from VASP
! symmetry	Cm (8)
&SYSTEM
  ibrav = 0, nat = 4, ntyp = 3
/
ATOMIC_SPECIES
K 39.10 K.upf
La 138.91 La.upf
Zr 91.22 Zr.upf
CELL_PARAMETERS angstrom
5.647 -1.692 0.000
5.647 1.692 0.000
-0.511 0.000 8.137
ATOMIC_POSITIONS angstrom
K 0.000 0.000 0.000
La 2.347 0.000 5.466
La 5.309 0.000 3.656
Zr 8.376 0.000 2.644

y:
! KLa2Zr GGA-PBE optimized geometry; values from VASP
! symmetry	F-43m (216)
&SYSTEM
  ibrav = 0, nat = 4, ntyp = 3
/
ATOMIC_SPECIES
K 39.10 K.upf
La 138.91 La.upf
Zr 91.22 Zr.upf
CELL_PARAMETERS angstrom
0.000 4.116 4.116
4.116 0.000 4.116
4.116 4.116 0.000
ATOMIC_POSITIONS angstrom
K 0.000 0.000 0.000
La 4.116 4.116 4.116
La 6.175 6.175 6.175
Zr 2.058 2.058 2.058

z:
! KLa2Zr GGA-PBE optimized geometry; values from VASP
! symmetry	C2/m (12)
&SYSTEM
  ibrav = 0, nat = 4, ntyp = 3
/
ATOMIC_SPECIES
K 39.10 K.upf
La 138.91 La.upf
Zr 91.22 Zr.upf
CELL_PARAMETERS angstrom
5.336 -1.696 0.000
5.336 1.696 0.000
-0.599 0.000 8.192
ATOMIC_POSITIONS angstrom
K 0.000 0.000 0.000
La 2.106 0.000 5.613
La 7.967 0.000 2.579
Zr 5.036 0.000 4.096

In terms of stability, z leads; the second structure lies 54 meV per atom higher.